[1]
The following is a DFT calculation (GGA-PBE) of crystalline SrHoAg at its relaxed geometry.

Its theoretical density is 5.94 g/cm3. Its total moment is 0.05 μB per formula unit. The total energy is -8.8 eV/cell.

Cell: 5.223 5.223 5.223 Å, 60.00 60.00 60.00°
Sites, in units of the cell vectors:
Ho 0.250 0.250 0.250
Sr 0.750 0.750 0.750
Ag 0.000 0.000 0.000

[2]
The following is a DFT calculation (GGA-PBE) of crystalline Zr6Fe23 at its relaxed geometry.

Its theoretical density is 7.81 g/cm3. Its total moment is 43.59 μB per formula unit. The total energy is -247.2 eV/cell. For the formation energy, the calculation gives -165 meV per atom.

Cell: 8.197 8.197 8.197 Å, 120.00 90.00 120.00°
Last column: magnetic moment on the atom in μB.
Sites, in units of the cell vectors:
Fe 0.121 0.243 0.879  2.29
Zr 0.295 0.590 0.295  -0.43
Fe 0.328 0.655 0.672  1.95
Fe 0.982 0.655 0.328  1.95
Fe 0.500 0.000 0.000  1.79
Fe 0.328 0.655 0.982  1.95
Fe 0.000 0.000 0.000  2.30
Zr 0.705 0.000 0.295  -0.43
Fe 0.018 0.345 0.672  1.95
Fe 0.000 0.500 0.000  1.84
Zr 0.705 0.000 0.705  -0.43
Fe 0.000 0.500 0.500  1.84
Fe 0.000 0.000 0.500  1.90
Zr 0.295 0.000 0.705  -0.43
Fe 0.500 0.500 0.000  1.85
Zr 0.295 0.000 0.295  -0.43
Fe 0.636 0.757 0.879  2.27
Fe 0.500 0.500 0.500  1.84
Fe 0.879 0.243 0.121  2.27
Fe 0.328 0.345 0.672  1.95
Fe 0.672 0.345 0.328  1.95
Fe 0.879 0.757 0.121  2.29
Fe 0.364 0.243 0.121  2.27
Fe 0.121 0.757 0.879  2.27
Fe 0.672 0.345 0.018  1.95
Fe 0.121 0.243 0.364  2.29
Fe 0.672 0.655 0.328  1.95
Zr 0.705 0.410 0.705  -0.43
Fe 0.879 0.757 0.636  2.29

[3]
The following is a DFT calculation (GGA-PBE) of crystalline PrMoPb at its relaxed geometry.

Its theoretical density is 7.62 g/cm3. Its total moment is 3.96 μB per formula unit. The total energy is -15.9 eV/cell.

Cell: 5.154 5.154 5.154 Å, 60.00 60.00 60.00°
Sites, in units of the cell vectors:
Pr 0.000 0.000 0.000
Pb 0.750 0.750 0.750
Mo 0.250 0.250 0.250

[4]
The following is a DFT calculation (GGA-PBE) of crystalline LaPrSc2Si2 at its relaxed geometry.

Its theoretical density is 4.71 g/cm3. Its total moment is 1.70 μB per formula unit. The total energy is -36.9 eV/cell.

Cell: 8.589 8.589 8.589 Å, 150.82 150.82 41.74°
Last column: magnetic moment on the atom in μB.
Sites, in units of the cell vectors:
La 0.677 0.677 0.000  0.21
Pr 0.325 0.325 0.000  0.24
Si 0.881 0.881 0.000  -0.02
Sc 0.999 0.499 0.500  0.18
Si 0.120 0.120 0.000  -0.02
Sc 0.499 0.999 0.500  0.21

[5]
The following is a DFT calculation (GGA-PBE) of crystalline KSrU at its relaxed geometry.

Its theoretical density is 3.48 g/cm3. Its total moment is 6.39 μB per formula unit. The total energy is -8.6 eV/cell.

Cell: 6.270 6.270 6.270 Å, 60.00 60.00 60.00°
Last column: magnetic moment on the atom in μB.
Sites, in units of the cell vectors:
Sr 0.250 0.250 0.250  0.20
U 0.000 0.000 0.000  3.82
K 0.750 0.750 0.750  0.06

[6]
The following is a DFT calculation (GGA-PBE) of crystalline Ni15Hg at its relaxed geometry.

Its theoretical density is 7.09 g/cm3. Its total moment is 4.11 μB per formula unit. The total energy is -163.6 eV/cell. For the formation energy, the calculation gives 125 meV per atom.

Cell: 5.031 2.563 39.294 Å, 90.00 90.00 90.00°
Last column: magnetic moment on the atom in μB.
Sites, in units of the cell vectors:
Ni 0.376 0.000 0.691  -0.71
Ni 0.125 0.500 0.735  0.01
Hg 0.125 0.500 0.838  -0.01
Ni 0.625 0.500 0.648  -0.26
Ni 0.625 0.500 0.564  0.71
Ni 0.125 0.500 0.308  0.02
Ni 0.875 0.000 0.521  0.71
Ni 0.125 0.500 0.649  -0.33
Ni 0.375 0.000 0.266  0.39
Ni 0.878 0.000 0.777  0.28
Ni 0.625 0.500 0.818  0.35
Ni 0.625 0.500 0.479  0.66
Ni 0.874 0.000 0.691  -0.71
Ni 0.625 0.500 0.394  0.68
Ni 0.375 0.000 0.606  0.50
Ni 0.875 0.000 0.351  0.59
Ni 0.875 0.000 0.436  0.68
Ni 0.628 0.500 0.223  0.52
Ni 0.875 0.000 0.265  0.26
Ni 0.125 0.500 0.479  0.66
Ni 0.125 0.500 0.394  0.67
Ni 0.372 0.000 0.777  0.28
Ni 0.625 0.500 0.308  -0.10
Ni 0.122 0.500 0.223  0.52
Ni 0.375 0.000 0.182  0.71
Ni 0.625 0.500 0.735  -0.37
Hg 0.875 0.000 0.162  -0.01
Ni 0.125 0.500 0.564  0.72
Ni 0.375 0.000 0.521  0.71
Ni 0.375 0.000 0.351  0.55
Ni 0.375 0.000 0.436  0.64
Ni 0.875 0.000 0.606  0.47

[7]
The following is a DFT calculation (GGA-PBE) of crystalline Pd2F13 at its relaxed geometry.

Its theoretical density is 4.68 g/cm3. The total energy is -44.5 eV/cell.

Cell: 4.473 6.080 6.902 Å, 65.69 83.56 72.35°
Sites, in units of the cell vectors:
F 0.359 0.520 0.058
F 0.641 0.480 0.942
F 0.755 0.317 0.610
F 0.876 0.147 0.319
F 0.322 0.255 0.442
F 0.000 0.000 0.000
Pd 0.166 0.133 0.715
F 0.808 0.594 0.230
F 0.192 0.406 0.770
F 0.572 0.947 0.831
Pd 0.834 0.867 0.285
F 0.678 0.745 0.558
F 0.245 0.683 0.390
F 0.428 0.053 0.169
F 0.124 0.853 0.681

[8]
The following is a DFT calculation (GGA-PBE) of crystalline ReNi5 at its relaxed geometry.

Its theoretical density is 11.57 g/cm3. Its total moment is 0.08 μB per formula unit. The total energy is -156.9 eV/cell. For the formation energy, the calculation gives 175 meV per atom.

Cell: 4.609 4.609 14.964 Å, 90.00 90.00 120.00°
Last column: magnetic moment on the atom in μB.
Sites, in units of the cell vectors:
Ni 0.667 0.333 0.626  0.01
Re 0.000 0.000 0.409  0.00
Ni 0.667 0.333 0.153  -0.02
Ni 0.667 0.333 0.874  0.01
Ni 0.667 0.333 0.347  -0.02
Ni 0.163 0.326 0.250  0.00
Ni 0.000 0.500 0.500  0.06
Ni 0.837 0.674 0.750  0.00
Ni 0.163 0.837 0.250  0.00
Re 0.000 0.000 0.091  0.00
Ni 0.500 0.500 0.500  0.07
Ni 0.333 0.667 0.374  0.01
Ni 0.500 0.500 0.000  0.07
Ni 0.500 0.000 0.000  0.06
Ni 0.333 0.667 0.847  -0.02
Ni 0.837 0.163 0.750  0.00
Ni 0.333 0.667 0.653  -0.02
Ni 0.333 0.667 0.126  0.01
Re 0.000 0.000 0.909  0.00
Ni 0.326 0.163 0.750  -0.01
Ni 0.000 0.500 0.000  0.06
Re 0.000 0.000 0.591  0.00
Ni 0.500 0.000 0.500  0.07
Ni 0.674 0.837 0.250  -0.01

[9]
The following is a DFT calculation (GGA-PBE) of crystalline SmAl6Cu6 at its relaxed geometry.

Its theoretical density is 6.05 g/cm3. Its total moment is 0.00 μB per formula unit. The total energy is -54.1 eV/cell.

Cell: 6.636 6.636 6.636 Å, 135.17 99.09 97.64°
Sites, in units of the cell vectors:
Cu 0.500 0.500 0.500
Sm 0.000 0.000 0.000
Cu 0.500 0.000 0.000
Cu 0.000 0.000 0.500
Al 0.347 0.000 0.347
Al 0.349 0.349 0.000
Cu 0.232 0.500 0.732
Cu 0.000 0.500 0.000
Al 0.651 0.651 0.000
Cu 0.768 0.500 0.268
Al 0.796 0.296 0.500
Al 0.653 0.000 0.653
Al 0.204 0.704 0.500

[10]
The following is a DFT calculation (GGA-PBE) of crystalline GdReB4 at its relaxed geometry.

Its theoretical density is 10.20 g/cm3. Its total moment is 0.00 μB per formula unit. The total energy is -188.8 eV/cell.

Cell: 5.991 11.592 3.627 Å, 90.00 90.00 90.00°
Sites, in units of the cell vectors:
B 0.023 0.692 0.500
B 0.787 0.184 0.500
B 0.137 0.968 0.500
B 0.287 0.316 0.500
B 0.713 0.684 0.500
B 0.637 0.532 0.500
B 0.386 0.047 0.500
Gd 0.374 0.651 0.000
Gd 0.874 0.849 0.000
Re 0.868 0.587 0.000
B 0.863 0.032 0.500
B 0.977 0.308 0.500
B 0.363 0.468 0.500
B 0.886 0.453 0.500
B 0.114 0.547 0.500
B 0.477 0.192 0.500
Re 0.368 0.913 0.000
Re 0.132 0.413 0.000
Gd 0.126 0.151 0.000
B 0.614 0.953 0.500
B 0.523 0.808 0.500
Re 0.632 0.087 0.000
Gd 0.626 0.349 0.000
B 0.213 0.816 0.500

[11]
The following is a DFT calculation (GGA-PBE) of crystalline Sr2HoAl3Ge2Pt at its relaxed geometry.

Its theoretical density is 6.37 g/cm3. Its total moment is 0.00 μB per formula unit. The total energy is -40.9 eV/cell.

Cell: 4.363 7.292 7.292 Å, 121.21 90.00 90.00°
Sites, in units of the cell vectors:
Ho 0.000 0.415 0.415
Al 0.500 0.011 0.227
Ge 0.500 0.341 0.648
Sr 0.000 0.000 0.577
Al 0.500 0.227 0.011
Sr 0.000 0.577 0.000
Ge 0.500 0.648 0.341
Al 0.500 0.770 0.770
Pt 0.000 0.012 0.012

[12]
The following is a DFT calculation (GGA-PBE) of crystalline NaTmPb at its relaxed geometry.

Its theoretical density is 8.25 g/cm3. Its total moment is 0.00 μB per formula unit. The total energy is -30.0 eV/cell.

Cell: 5.209 5.209 10.254 Å, 90.00 90.00 120.00°
Sites, in units of the cell vectors:
Tm 0.000 0.000 0.834
Pb 0.333 0.667 0.000
Na 0.333 0.667 0.680
Tm 0.000 0.000 0.500
Na 0.667 0.333 0.000
Na 0.333 0.667 0.320
Pb 0.667 0.333 0.660
Pb 0.667 0.333 0.340
Tm 0.000 0.000 0.166

Copy entry 11 word for word.
The following is a DFT calculation (GGA-PBE) of crystalline Sr2HoAl3Ge2Pt at its relaxed geometry.

Its theoretical density is 6.37 g/cm3. Its total moment is 0.00 μB per formula unit. The total energy is -40.9 eV/cell.

Cell: 4.363 7.292 7.292 Å, 121.21 90.00 90.00°
Sites, in units of the cell vectors:
Ho 0.000 0.415 0.415
Al 0.500 0.011 0.227
Ge 0.500 0.341 0.648
Sr 0.000 0.000 0.577
Al 0.500 0.227 0.011
Sr 0.000 0.577 0.000
Ge 0.500 0.648 0.341
Al 0.500 0.770 0.770
Pt 0.000 0.012 0.012